[1]
DFT (GGA-PBE) results for EuYTh after structural relaxation.

Cell and atoms, written as POSCAR:
```
EuYTh
1.0
3.633 0.000 0.000
-1.817 3.147 0.000
0.000 0.000 8.995
Eu Y Th
1 1 1
Cartesian
0.000 0.000 0.000
0.000 2.098 5.824
1.817 1.049 3.025
```

## Properties
- Calculated formation energy: 0.2 eV/f.u.
- Crystal system: trigonal
- Space-group type: No. 156
- Excess energy over the best structure of this formula in the dataset: 0 meV/atom



[2]
DFT (GGA-PBE) results for BaSiHgAu2 after structural relaxation.

Cell and atoms, written as POSCAR:
```
BaSiHgAu2
1.0
5.025 0.000 0.000
0.000 5.025 0.000
0.000 0.000 5.188
Ba Si Hg Au
1 1 1 2
Cartesian
0.000 0.000 0.000
2.512 2.512 2.594
2.512 2.512 0.000
0.000 2.512 2.594
2.512 0.000 2.594
```

## Properties
- Energy relative to the elements, uncorrected: -0.354 eV per atom
- Crystal system: tetragonal
- Space-group type: No. 123



[3]
DFT (GGA-PBE) results for La3NdHo2P6 after structural relaxation.

Cell and atoms, written as POSCAR:
```
La3NdHo2P6
1.0
3.605 -6.244 0.000
3.605 6.244 0.000
-2.403 0.000 6.798
La Nd Ho P
3 1 2 6
Cartesian
0.000 0.000 0.000
3.605 2.071 0.000
3.605 -2.071 0.000
2.404 0.000 3.399
2.404 4.159 3.399
2.404 -4.159 3.399
1.181 2.118 1.776
-0.042 0.000 5.017
1.181 -2.118 1.776
3.627 2.118 5.022
4.849 0.000 1.781
3.627 -2.118 5.022
```

## Properties
- Calculated formation energy: -18.8 eV/f.u.
- Crystal system: monoclinic
- Space-group type: No. 12



Let's list total DFT energy (no corrections) in order: -7.973 -3.194 -6.663 eV per atom.